Ba2Tl2Fe3O10 (GGA+U, relaxed); total energy = -5.80 eV per atom
1.0
3.680 0.000 0.000
0.002 3.887 0.000
0.007 0.008 18.314
Ba Tl Fe O
2 2 3 10
Direct
0.000 0.000 0.000
0.498 0.500 0.459
0.499 0.488 0.164
0.999 0.989 0.293
0.496 0.001 0.743
0.498 0.500 0.864
0.997 0.000 0.595
0.001 0.044 0.179
0.496 0.501 0.761
0.497 0.000 0.563
0.498 0.000 0.859
0.500 0.501 0.053
0.500 0.545 0.277
0.996 0.001 0.699
0.997 0.500 0.563
0.998 0.001 0.403
0.998 0.500 0.909